Record 1
This record from Alexandria describes a relaxed structure of PaBiPd14. The functional is PBE-GGA.

VASP energy = -91.1 eV/f.u.
SG = P4/mmm (123)
volume = 16.551 A^3/atom

Geometry as POSCAR:
```
PaBiPd14
1.0
5.8314 0.0000 0.0000
0.0000 5.8314 0.0000
0.0000 0.0000 7.7878
Pa Bi Pd
1 1 14
direct
0.0000 0.0000 0.0000 Pa
0.5000 0.5000 0.0000 Bi
0.0000 0.0000 0.5000 Pd
0.0000 0.5000 0.0000 Pd
0.0000 0.5000 0.5000 Pd
0.2462 0.2462 0.2541 Pd
0.2462 0.2462 0.7459 Pd
0.2462 0.7538 0.2541 Pd
0.2462 0.7538 0.7459 Pd
0.5000 0.0000 0.0000 Pd
0.5000 0.0000 0.5000 Pd
0.5000 0.5000 0.5000 Pd
0.7538 0.2462 0.2541 Pd
0.7538 0.2462 0.7459 Pd
0.7538 0.7538 0.2541 Pd
0.7538 0.7538 0.7459 Pd
```

Record 2
This record from Alexandria describes a relaxed structure of TiTeSN2. The functional is PBE-GGA.

SG = P4/mmm (123)
volume = 15.740 A^3/atom
energy relative to the elements, uncorrected = 0.381 eV per atom
relative energy among the computed polymorphs = 0 meV/atom

Geometry as POSCAR:
```
TiTeSN2
1.0
3.9531 0.0000 0.0000
0.0000 3.9531 0.0000
0.0000 0.0000 5.0359
Ti Te S N
1 1 1 2
direct
0.0000 0.0000 0.0000 Ti
0.5000 0.5000 0.5000 Te
0.0000 0.0000 0.5000 S
0.0000 0.5000 0.0000 N
0.5000 0.0000 0.0000 N
```

Record 3
This record from Alexandria describes a relaxed structure of RbZnHg2. The functional is PBE-GGA.

SG = P4/mmm (123)
volume = 30.194 A^3/atom
relative energy among the computed polymorphs = 41 meV/atom

Geometry as POSCAR:
```
RbZnHg2
1.0
3.8708 0.0000 0.0000
0.0000 3.8708 0.0000
0.0000 0.0000 8.0609
Rb Zn Hg
1 1 2
direct
0.0000 0.0000 0.0000 Rb
0.0000 0.0000 0.5000 Zn
0.5000 0.5000 0.3106 Hg
0.5000 0.5000 0.6894 Hg
```

Record 4
This record from Alexandria describes a relaxed structure of CrGaTcMo. The functional is PBE-GGA.

VASP energy = -34.0 eV/f.u.
SG = F-43m (216)
volume = 14.430 A^3/atom

Geometry as POSCAR:
```
CrGaTcMo
1.0
0.0000 3.0674 3.0674
3.0674 0.0000 3.0674
3.0674 3.0674 0.0000
Cr Ga Tc Mo
1 1 1 1
direct
0.0000 0.0000 0.0000 Cr
0.2500 0.2500 0.2500 Ga
0.5000 0.5000 0.5000 Tc
0.7500 0.7500 0.7500 Mo
```

Record 5
This record from Alexandria describes a relaxed structure of LiCo2SiAu. The functional is PBE-GGA.

SG = P4/mmm (123)
volume = 19.433 A^3/atom
energy relative to the elements, uncorrected = 1.097 eV per atom

Geometry as POSCAR:
```
LiCo2SiAu
1.0
4.7094 0.0000 0.0000
0.0000 4.7094 0.0000
0.0000 0.0000 4.3811
Li Co Si Au
1 2 1 1
direct
0.0000 0.0000 0.0000 Li
0.0000 0.5000 0.5000 Co
0.5000 0.0000 0.5000 Co
0.5000 0.5000 0.0000 Si
0.0000 0.0000 0.5000 Au
```

Record 6
This record from Alexandria describes a relaxed structure of TbSm2CdO. The functional is PBE-GGA.

SG = P4/mmm (123)
volume = 23.245 A^3/atom
energy relative to the elements, uncorrected = -1.308 eV per atom

Geometry as POSCAR:
```
TbSm2CdO
1.0
4.9165 0.0000 0.0000
0.0000 4.9165 0.0000
0.0000 0.0000 4.8083
Tb Sm Cd O
1 2 1 1
direct
0.0000 0.0000 0.0000 Tb
0.0000 0.5000 0.5000 Sm
0.5000 0.0000 0.5000 Sm
0.5000 0.5000 0.0000 Cd
0.0000 0.0000 0.5000 O
```

Record 7
This record from Alexandria describes a relaxed structure of YAs2Os. The functional is PBE-GGA.

SG = Cm (8)
volume = 19.245 A^3/atom
relative energy among the computed polymorphs = 249 meV/atom

Geometry as POSCAR:
```
YAs2Os
1.0
4.6458 -1.6712 0.0000
4.6458 1.6712 0.0000
-1.4947 0.0000 4.9574
Y As Os
1 2 1
direct
0.0000 0.0000 0.0000 Y
0.5251 0.5251 0.5140 As
0.7611 0.7611 0.2412 As
0.2456 0.2456 0.6058 Os
```

Record 8
This record from Alexandria describes a relaxed structure of Dy12Rh5Pb3. The functional is PBE-GGA.

VASP energy = -109.3 eV/f.u.
SG = Ia-3d (230)
volume = 30.835 A^3/atom

Geometry as POSCAR:
```
Dy12Rh5Pb3
1.0
-8.5118 8.5118 8.5118
8.5118 -8.5118 8.5118
8.5118 8.5118 -8.5118
Dy Rh Pb
48 20 12
direct
0.0302 0.2053 0.1185 Dy
0.0302 0.3249 0.9117 Dy
0.0868 0.7053 0.6751 Dy
0.0868 0.8815 0.4117 Dy
0.0883 0.6185 0.4132 Dy
0.0883 0.9698 0.6751 Dy
0.1185 0.0302 0.2053 Dy
0.1185 0.5883 0.9132 Dy
0.1751 0.2053 0.5868 Dy
0.1751 0.4698 0.5883 Dy
0.2053 0.1185 0.0302 Dy
0.2053 0.5868 0.1751 Dy
0.2947 0.3249 0.9132 Dy
0.2947 0.4698 0.3815 Dy
0.3249 0.9117 0.0302 Dy
0.3249 0.9132 0.2947 Dy
0.3815 0.2947 0.4698 Dy
0.3815 0.5868 0.9117 Dy
0.4117 0.0868 0.8815 Dy
0.4117 0.8249 0.5302 Dy
0.4132 0.0883 0.6185 Dy
0.4132 0.8249 0.7947 Dy
0.4698 0.3815 0.2947 Dy
0.4698 0.5883 0.1751 Dy
0.5302 0.4117 0.8249 Dy
0.5302 0.6185 0.7053 Dy
0.5868 0.1751 0.2053 Dy
0.5868 0.9117 0.3815 Dy
0.5883 0.1751 0.4698 Dy
0.5883 0.9132 0.1185 Dy
0.6185 0.4132 0.0883 Dy
0.6185 0.7053 0.5302 Dy
0.6751 0.0868 0.7053 Dy
0.6751 0.0883 0.9698 Dy
0.7053 0.5302 0.6185 Dy
0.7053 0.6751 0.0868 Dy
0.7947 0.4132 0.8249 Dy
0.7947 0.8815 0.9698 Dy
0.8249 0.5302 0.4117 Dy
0.8249 0.7947 0.4132 Dy
0.8815 0.4117 0.0868 Dy
0.8815 0.9698 0.7947 Dy
0.9117 0.0302 0.3249 Dy
0.9117 0.3815 0.5868 Dy
0.9132 0.1185 0.5883 Dy
0.9132 0.2947 0.3249 Dy
0.9698 0.6751 0.0883 Dy
0.9698 0.7947 0.8815 Dy
0.0000 0.0000 0.0000 Rh
0.0000 0.0000 0.5000 Rh
0.0000 0.5000 0.0000 Rh
0.0000 0.5000 0.5000 Rh
0.1250 0.7500 0.8750 Rh
0.1250 0.8750 0.2500 Rh
0.2500 0.1250 0.8750 Rh
0.2500 0.6250 0.3750 Rh
0.3750 0.2500 0.6250 Rh
0.3750 0.6250 0.7500 Rh
0.5000 0.0000 0.0000 Rh
0.5000 0.0000 0.5000 Rh
0.5000 0.5000 0.0000 Rh
0.5000 0.5000 0.5000 Rh
0.6250 0.3750 0.2500 Rh
0.6250 0.7500 0.3750 Rh
0.7500 0.3750 0.6250 Rh
0.7500 0.8750 0.1250 Rh
0.8750 0.1250 0.7500 Rh
0.8750 0.2500 0.1250 Rh
0.1250 0.2500 0.3750 Pb
0.1250 0.3750 0.7500 Pb
0.2500 0.3750 0.1250 Pb
0.2500 0.8750 0.6250 Pb
0.3750 0.1250 0.2500 Pb
0.3750 0.7500 0.1250 Pb
0.6250 0.2500 0.8750 Pb
0.6250 0.8750 0.7500 Pb
0.7500 0.1250 0.3750 Pb
0.7500 0.6250 0.8750 Pb
0.8750 0.6250 0.2500 Pb
0.8750 0.7500 0.6250 Pb
```

Record 9
This record from Alexandria describes a relaxed structure of Ho2TiFe. The functional is PBE-GGA.

VASP energy = -23.3 eV/f.u.
SG = R-3m (166)
volume = 22.697 A^3/atom

Geometry as POSCAR:
```
Ho2TiFe
1.0
1.6256 0.9385 9.9174
-1.6256 0.9385 9.9174
0.0000 -1.8771 9.9174
Ho Ti Fe
2 1 1
direct
0.1002 0.1002 0.1002 Ho
0.8998 0.8998 0.8998 Ho
0.0000 0.0000 0.0000 Ti
0.5000 0.5000 0.5000 Fe
```

Record 10
This record from Alexandria describes a relaxed structure of CaBSb2I. The functional is PBE-GGA.

SG = P4/mmm (123)
volume = 40.778 A^3/atom
energy relative to the elements, uncorrected = 1.247 eV per atom
relative energy among the computed polymorphs = 1001 meV/atom

Geometry as POSCAR:
```
CaBSb2I
1.0
5.8733 0.0000 0.0000
0.0000 5.8733 0.0000
0.0000 0.0000 5.9107
Ca B Sb I
1 1 2 1
direct
0.0000 0.0000 0.0000 Ca
0.5000 0.5000 0.5000 B
0.0000 0.5000 0.0000 Sb
0.5000 0.0000 0.0000 Sb
0.0000 0.0000 0.5000 I
```

Record 11
This record from Alexandria describes a relaxed structure of CaDy5Y4. The functional is PBE-GGA.

VASP energy = -50.4 eV/f.u.
SG = P4/mmm (123)
volume = 32.667 A^3/atom

Geometry as POSCAR:
```
CaDy5Y4
1.0
3.5789 0.0000 0.0000
0.0000 3.5789 0.0000
0.0000 0.0000 25.5047
Ca Dy Y
1 5 4
direct
0.0000 0.0000 0.0000 Ca
0.5000 0.5000 0.1096 Dy
0.5000 0.5000 0.3038 Dy
0.5000 0.5000 0.5000 Dy
0.5000 0.5000 0.6962 Dy
0.5000 0.5000 0.8904 Dy
0.0000 0.0000 0.2042 Y
0.0000 0.0000 0.4015 Y
0.0000 0.0000 0.5985 Y
0.0000 0.0000 0.7958 Y
```

Record 12
This record from Alexandria describes a relaxed structure of LaSmLuIn. The functional is PBE-GGA.

VASP energy = -17.6 eV/f.u.
SG = F-43m (216)
volume = 30.333 A^3/atom

Geometry as POSCAR:
```
LaSmLuIn
1.0
0.0000 3.9293 3.9293
3.9293 0.0000 3.9293
3.9293 3.9293 0.0000
La Sm Lu In
1 1 1 1
direct
0.0000 0.0000 0.0000 La
0.5000 0.5000 0.5000 Sm
0.2500 0.2500 0.2500 Lu
0.7500 0.7500 0.7500 In
```